Entry 1:
DFT (PBE-GGA) results for a relaxed CrInCS2 crystal.

The structure belongs to space group P4/mmm (No. 123); the cell edges are 4.268, 4.268 and 5.536 Å and the angles 90.00°, 90.00° and 90.00°. The inequivalent atoms are Cr at (0.000, 0.000, 0.000), In at (0.000, 0.000, 0.500), C at (0.500, 0.500, 0.500) and S at (0.000, 0.500, 0.000).

The value obtained for the uncorrected energy is -4.720 eV per atom. The energy relative to the elements, uncorrected is 1.25 eV per atom.

Entry 2:
DFT (PBE-GGA) results for a relaxed Mg5Zn4Ga crystal.

The structure belongs to space group P4/mmm (No. 123); the cell edges are 3.370, 3.370 and 16.076 Å and the angles 90.00°, 90.00° and 90.00°. The inequivalent atoms are Mg at (0.000, 0.000, 0.000), Mg at (0.000, 0.000, 0.196), Mg at (0.000, 0.000, 0.395), Zn at (0.500, 0.500, 0.098), Zn at (0.500, 0.500, 0.294) and Ga at (0.500, 0.500, 0.500).

The value obtained for the uncorrected energy is -1.697 eV per atom. The calculation puts the formation energy at -88 meV/atom.

Entry 3:
DFT (PBE-GGA) results for a relaxed Pm5Ni4Ru crystal.

The structure belongs to space group P4/mmm (No. 123); the cell edges are 3.463, 3.463 and 17.485 Å and the angles 90.00°, 90.00° and 90.00°. The inequivalent atoms are Pm at (0.000, 0.000, 0.000), Pm at (0.000, 0.000, 0.199), Pm at (0.000, 0.000, 0.400), Ni at (0.500, 0.500, 0.099), Ni at (0.500, 0.500, 0.297) and Ru at (0.500, 0.500, 0.500).

The value obtained for the uncorrected energy is -5.868 eV per atom. The calculation puts the formation energy at -253 meV/atom.